Entry 1:
# Pm4Pr2Dy (PBE-GGA, optimized geometry)
data_Pm4Pr2Dy
_chemical_formula_sum 'Pm4 Pr2 Dy1'
_cell_length_a 20.960
_cell_length_b 20.960
_cell_length_c 20.960
_cell_angle_alpha 10.00
_cell_angle_beta 10.00
_cell_angle_gamma 10.00
_space_group_name_H-M_alt 'P 1'
_space_group_IT_number 1
_space_group_name_Hall 'P 1'
loop_
_atom_site_label
_atom_site_fract_x
_atom_site_fract_y
_atom_site_fract_z
Pm1 0.143 0.143 0.143
Pm2 0.287 0.287 0.287
Pm3 0.713 0.713 0.713
Pm4 0.857 0.857 0.857
Pr1 0.428 0.428 0.428
Pr2 0.572 0.572 0.572
Dy1 0.000 0.000 0.000
# Energy relative to the elements (kJ per mole of atoms): 1.18
# DOS(E_F) (states/eV/atom): 1.32
# Size of the total moment (μB per atom): 0.000
# E (eV/atom): -4.73



Entry 2:
# Pm12Pr5Dy2 (PBE-GGA, optimized geometry)
data_Pm12Pr5Dy2
_chemical_formula_sum 'Pm12 Pr5 Dy2'
_cell_length_a 10.094
_cell_length_b 10.094
_cell_length_c 10.533
_cell_angle_alpha 110.15
_cell_angle_beta 110.15
_cell_angle_gamma 41.99
_space_group_name_H-M_alt 'P 1'
_space_group_IT_number 1
_space_group_name_Hall 'P 1'
loop_
_atom_site_label
_atom_site_fract_x
_atom_site_fract_y
_atom_site_fract_z
Pm1 0.002 0.002 0.321
Pm2 0.083 0.585 0.480
Pm3 0.093 0.589 0.134
Pm4 0.411 0.907 0.866
Pm5 0.415 0.917 0.520
Pm6 0.476 0.476 0.759
Pm7 0.524 0.524 0.241
Pm8 0.585 0.083 0.480
Pm9 0.589 0.093 0.134
Pm10 0.907 0.411 0.866
Pm11 0.917 0.415 0.520
Pm12 0.998 0.998 0.679
Pr1 0.175 0.175 0.208
Pr2 0.315 0.315 0.817
Pr3 0.500 0.500 0.500
Pr4 0.685 0.685 0.183
Pr5 0.825 0.825 0.792
Dy1 0.220 0.780 0.000
Dy2 0.780 0.220 0.000
# Energy relative to the elements (kJ per mole of atoms): 16.05
# DOS(E_F) (states/eV/atom): 1.63
# Size of the total moment (μB per atom): 0.000
# E (eV/atom): -4.58



Entry 3:
# Pm4Pr3Dy3 (PBE-GGA, optimized geometry)
data_Pm4Pr3Dy3
_chemical_formula_sum 'Pm4 Pr3 Dy3'
_cell_length_a 3.800
_cell_length_b 9.535
_cell_length_c 9.535
_cell_angle_alpha 89.48
_cell_angle_beta 90.00
_cell_angle_gamma 90.00
_space_group_name_H-M_alt 'P 1'
_space_group_IT_number 1
_space_group_name_Hall 'P 1'
loop_
_atom_site_label
_atom_site_fract_x
_atom_site_fract_y
_atom_site_fract_z
Pm1 0.000 0.000 0.000
Pm2 0.000 0.261 0.261
Pm3 0.000 0.506 0.762
Pm4 0.000 0.762 0.506
Pr1 0.500 0.302 0.960
Pr2 0.500 0.460 0.460
Pr3 0.500 0.960 0.302
Dy1 0.000 0.126 0.634
Dy2 0.000 0.634 0.126
Dy3 0.500 0.803 0.803
# Energy relative to the elements (kJ per mole of atoms): 10.84
# DOS(E_F) (states/eV/atom): 0.99
# Size of the total moment (μB per atom): 0.000
# E (eV/atom): -4.60



Entry 4:
# Pm2Pr6Dy3 (PBE-GGA, optimized geometry)
data_Pm2Pr6Dy3
_chemical_formula_sum 'Pm2 Pr6 Dy3'
_cell_length_a 17.608
_cell_length_b 17.608
_cell_length_c 17.608
_cell_angle_alpha 164.33
_cell_angle_beta 164.33
_cell_angle_gamma 22.22
_space_group_name_H-M_alt 'P 1'
_space_group_IT_number 1
_space_group_name_Hall 'P 1'
loop_
_atom_site_label
_atom_site_fract_x
_atom_site_fract_y
_atom_site_fract_z
Pm1 0.045 0.045 0.000
Pm2 0.955 0.955 0.000
Pr1 0.121 0.621 0.500
Pr2 0.207 0.207 0.000
Pr3 0.379 0.879 0.500
Pr4 0.621 0.121 0.500
Pr5 0.793 0.793 0.000
Pr6 0.879 0.379 0.500
Dy1 0.306 0.306 0.000
Dy2 0.500 0.500 0.000
Dy3 0.694 0.694 0.000
# Energy relative to the elements (kJ per mole of atoms): 27.31
# DOS(E_F) (states/eV/atom): 1.47
# Size of the total moment (μB per atom): 0.000
# E (eV/atom): -4.44



Entry 5:
# Pm6Pr2Dy (PBE-GGA, optimized geometry)
data_Pm6Pr2Dy
_chemical_formula_sum 'Pm6 Pr2 Dy1'
_cell_length_a 10.327
_cell_length_b 10.327
_cell_length_c 10.327
_cell_angle_alpha 160.53
_cell_angle_beta 120.01
_cell_angle_gamma 63.71
_space_group_name_H-M_alt 'P 1'
_space_group_IT_number 1
_space_group_name_Hall 'P 1'
loop_
_atom_site_label
_atom_site_fract_x
_atom_site_fract_y
_atom_site_fract_z
Pm1 0.021 0.834 0.187
Pm2 0.307 0.500 0.807
Pm3 0.353 0.166 0.187
Pm4 0.647 0.834 0.813
Pm5 0.693 0.500 0.193
Pm6 0.979 0.166 0.813
Pr1 0.333 0.333 0.000
Pr2 0.667 0.667 0.000
Dy1 0.000 0.000 0.000
# Energy relative to the elements (kJ per mole of atoms): 17.17
# DOS(E_F) (states/eV/atom): 1.97
# Size of the total moment (μB per atom): 0.000
# E (eV/atom): -4.56



Entry 6:
# PmPrDy3 (PBE-GGA, optimized geometry)
data_PmPrDy3
_chemical_formula_sum 'Pm2 Pr2 Dy6'
_cell_length_a 6.537
_cell_length_b 6.553
_cell_length_c 9.638
_cell_angle_alpha 90.36
_cell_angle_beta 108.76
_cell_angle_gamma 119.75
_space_group_name_H-M_alt 'P 1'
_space_group_IT_number 1
_space_group_name_Hall 'P 1'
loop_
_atom_site_label
_atom_site_fract_x
_atom_site_fract_y
_atom_site_fract_z
Pm1 0.207 0.059 0.191
Pm2 0.793 0.941 0.809
Pr1 0.500 0.000 0.000
Pr2 0.500 0.500 0.500
Dy1 0.051 0.486 0.188
Dy2 0.192 0.847 0.545
Dy3 0.368 0.360 0.813
Dy4 0.632 0.640 0.187
Dy5 0.808 0.153 0.455
Dy6 0.949 0.514 0.812
# Energy relative to the elements (kJ per mole of atoms): 16.96
# DOS(E_F) (states/eV/atom): 1.33
# Size of the total moment (μB per atom): 0.000
# E (eV/atom): -4.49



Entry 7:
# Pm3Pr8Dy3 (PBE-GGA, optimized geometry)
data_Pm3Pr8Dy3
_chemical_formula_sum 'Pm3 Pr8 Dy3'
_cell_length_a 9.929
_cell_length_b 9.929
_cell_length_c 9.929
_cell_angle_alpha 146.34
_cell_angle_beta 112.77
_cell_angle_gamma 77.33
_space_group_name_H-M_alt 'P 1'
_space_group_IT_number 1
_space_group_name_Hall 'P 1'
loop_
_atom_site_label
_atom_site_fract_x
_atom_site_fract_y
_atom_site_fract_z
Pm1 0.000 0.000 0.000
Pm2 0.306 0.000 0.306
Pm3 0.694 0.000 0.694
Pr1 0.059 0.396 0.663
Pr2 0.068 0.225 0.843
Pr3 0.267 0.604 0.663
Pr4 0.382 0.225 0.157
Pr5 0.618 0.775 0.843
Pr6 0.733 0.396 0.337
Pr7 0.932 0.775 0.157
Pr8 0.941 0.604 0.337
Dy1 0.318 0.818 0.500
Dy2 0.500 0.500 0.000
Dy3 0.682 0.182 0.500
# Energy relative to the elements (kJ per mole of atoms): 10.73
# DOS(E_F) (states/eV/atom): 1.23
# Size of the total moment (μB per atom): 0.000
# E (eV/atom): -4.62



Entry 8:
# Pm5Pr8Dy (PBE-GGA, optimized geometry)
data_Pm5Pr8Dy
_chemical_formula_sum 'Pm5 Pr8 Dy1'
_cell_length_a 8.690
_cell_length_b 8.690
_cell_length_c 8.690
_cell_angle_alpha 110.77
_cell_angle_beta 110.77
_cell_angle_gamma 106.91
_space_group_name_H-M_alt 'P 1'
_space_group_IT_number 1
_space_group_name_Hall 'P 1'
loop_
_atom_site_label
_atom_site_fract_x
_atom_site_fract_y
_atom_site_fract_z
Pm1 0.000 0.000 0.000
Pm2 0.318 0.218 0.687
Pm3 0.369 0.682 0.899
Pm4 0.530 0.631 0.313
Pm5 0.782 0.470 0.101
Pr1 0.026 0.767 0.603
Pr2 0.062 0.330 0.900
Pr3 0.164 0.423 0.397
Pr4 0.233 0.836 0.259
Pr5 0.430 0.162 0.100
Pr6 0.577 0.974 0.741
Pr7 0.670 0.570 0.733
Pr8 0.838 0.938 0.267
Dy1 0.750 0.250 0.500
# Energy relative to the elements (kJ per mole of atoms): 22.71
# DOS(E_F) (states/eV/atom): 1.50
# Size of the total moment (μB per atom): 0.000
# E (eV/atom): -4.52



Entry 9:
# Pm5Pr3Dy3 (PBE-GGA, optimized geometry)
data_Pm5Pr3Dy3
_chemical_formula_sum 'Pm5 Pr3 Dy3'
_cell_length_a 9.797
_cell_length_b 9.797
_cell_length_c 5.448
_cell_angle_alpha 90.00
_cell_angle_beta 90.00
_cell_angle_gamma 120.00
_space_group_name_H-M_alt 'P 1'
_space_group_IT_number 1
_space_group_name_Hall 'P 1'
loop_
_atom_site_label
_atom_site_fract_x
_atom_site_fract_y
_atom_site_fract_z
Pm1 0.000 0.735 0.000
Pm2 0.265 0.265 0.000
Pm3 0.333 0.667 0.000
Pm4 0.667 0.333 0.000
Pm5 0.735 0.000 0.000
Pr1 0.000 0.360 0.000
Pr2 0.360 0.000 0.000
Pr3 0.640 0.640 0.000
Dy1 0.000 0.531 0.500
Dy2 0.469 0.469 0.500
Dy3 0.531 0.000 0.500
# Energy relative to the elements (kJ per mole of atoms): 73.08
# DOS(E_F) (states/eV/atom): 1.43
# Size of the total moment (μB per atom): 0.000
# E (eV/atom): -3.96



> What is the energy relative to the elements in the eighth record?

22.71 kJ per mole of atoms



> Look up the DOS(E_F) of the fifth one.

1.97 states/eV/atom



> Among the records above, which one has the highest energy relative to the elements?

Pm5Pr3Dy3



> Look up the energy relative to the elements of the third one.

10.84 kJ per mole of atoms